Entry 1:
Material: La2HoInSe5
Method: DFT, PBE
State: optimized geometry

Cell lengths 4.1584, 9.2541, 12.9347 Å; angles 90.00, 90.00, 102.98 degrees
Closest atoms and distances in Å follow each position.
Atoms (fractional coordinates):
La 0.8772 0.7545 0.8000  8 Se 3.06-3.33
La 0.1277 0.2554 0.6839  8 Se 3.06-3.30
La 0.1228 0.2455 0.3000  8 Se 3.06-3.33
La 0.8723 0.7446 0.1839  8 Se 3.06-3.30
Ho 0.8018 0.6036 0.4981  5 Se 2.82-3.01
Ho 0.1982 0.3964 0.9981  5 Se 2.82-3.01
In 0.5654 0.1307 0.9753  3 Se 2.66-2.68
In 0.4346 0.8693 0.4753  3 Se 2.66-2.68
Se 0.3548 0.7095 0.9989  1 Ho 2.82
Se 0.7090 0.4179 0.8302  2 Ho 3.01, 3 La 3.06-3.17, 1 In 3.20
Se 0.5063 0.0125 0.7865  1 In 2.66
Se 0.2982 0.5963 0.6546  2 Ho 2.90, 3 La 3.10-3.15
Se 0.9703 0.9406 0.5964  2 In 2.68
Se 0.6452 0.2905 0.4989  1 Ho 2.82
Se 0.2910 0.5821 0.3302  2 Ho 3.01, 3 La 3.06-3.17, 1 In 3.20
Se 0.4937 0.9875 0.2865  1 In 2.66
Se 0.7018 0.4037 0.1546  2 Ho 2.90, 3 La 3.10-3.15
Se 0.0297 0.0594 0.0964  2 In 2.68

Computed properties:
symmetry	Cmc2_1, No. 36
DOS at the Fermi energy	1.75	states/eV/f.u.
E_form (uncorrected)	-1.552	eV/atom

***

Entry 2:
Material: TbNd2Si
Method: DFT, PBE
State: optimized geometry

Cell lengths 3.7176, 3.7176, 11.1511 Å; angles 80.40, 80.40, 60.00 degrees
Closest atoms and distances in Å follow each position.
Atoms (fractional coordinates):
Nd 0.1071 0.1071 0.6788  3 Si 2.90
Nd 0.8929 0.8929 0.3212  3 Si 2.90
Si 0.5000 0.5000 0.5000  6 Nd 2.90
Tb 0.0000 0.0000 0.0000  2 Nd 3.52, 6 Tb 3.72

Computed properties:
symmetry	R-3m, No. 166
energy above the most stable polymorph in this dataset	313.8	meV per atom
DOS at the Fermi energy	6.31	states/eV/f.u.
E_form (uncorrected)	0.067	eV/atom

***

Entry 3:
Material: BaSr2CI
Method: DFT, PBE
State: optimized geometry

Cell lengths 7.1911, 4.7202, 7.1911 Å; angles 90.00, 90.00, 90.00 degrees
Closest atoms and distances in Å follow each position.
Atoms (fractional coordinates):
I 0.5000 0.5000 0.5000  8 Sr 4.30, 2 I 4.72
Sr 0.0000 0.0000 0.5000  2 Ba 3.60
Sr 0.5000 0.0000 0.0000  2 Ba 3.60
C 0.0000 0.5000 0.0000  2 Ba 2.36
Ba 0.0000 0.0000 0.0000  2 C 2.36

Computed properties:
symmetry	P4/mmm, No. 123
DOS at the Fermi energy	3.31	states/eV/f.u.
E_form (uncorrected)	0.854	eV/atom

***

Entry 4:
Material: TaSi3W
Method: DFT, PBE
State: optimized geometry

Cell lengths 4.6794, 4.6794, 4.6794 Å; angles 90.00, 90.00, 90.00 degrees
Closest atoms and distances in Å follow each position.
Atoms (fractional coordinates):
Si 0.0000 0.5000 0.0000  2 Ta 2.34
Si 0.0000 0.0000 0.5000  2 Ta 2.34
Si 0.5000 0.0000 0.0000  2 Ta 2.34
W 0.5000 0.5000 0.5000  12 Si 3.31
Ta 0.0000 0.0000 0.0000  6 Si 2.34

Computed properties:
symmetry	Pm-3m, No. 221
energy above the most stable polymorph in this dataset	414.8	meV per atom
DOS at the Fermi energy	8.53	states/eV/f.u.
E_form (uncorrected)	1.691	eV/atom